Record 1
Density functional theory data (PBE) for a relaxed InAsP2O crystal.

Lattice parameters (Å, degrees): 5.105 5.105 3.947 90.00 90.00 90.00
Positions (direct):
In 0.000 0.000 0.000
As 0.500 0.500 0.500
P 0.000 0.500 0.000
P 0.500 0.000 0.000
O 0.000 0.000 0.500

Calculated density (g/cm3): 4.32
Energy above the most stable polymorph in this dataset (eV/atom): 0.492
Raw formation energy (meV per atom): 713
SG: P4/mmm, No. 123

Record 2
Density functional theory data (PBE) for a relaxed HfZnSbTe2 crystal.

Lattice parameters (Å, degrees): 5.235 5.235 5.048 90.00 90.00 90.00
Positions (direct):
Hf 0.000 0.000 0.000
Zn 0.500 0.500 0.500
Sb 0.500 0.500 0.000
Te 0.000 0.500 0.500
Te 0.500 0.000 0.500

Calculated density (g/cm3): 7.45
Energy above the most stable polymorph in this dataset (eV/atom): 0.483
Raw formation energy (meV per atom): 612
SG: P4/mmm, No. 123

Record 3
Density functional theory data (PBE) for a relaxed Ac3Be2ZnPt9 crystal.

Lattice parameters (Å, degrees): 6.938 6.938 7.067 90.00 90.00 120.00
Positions (direct):
Ac 0.000 0.000 0.000
Ac 0.333 0.667 0.668
Ac 0.667 0.333 0.332
Be 0.333 0.667 0.143
Be 0.667 0.333 0.857
Zn 0.000 0.000 0.500
Pt 0.000 0.500 0.000
Pt 0.181 0.361 0.322
Pt 0.181 0.819 0.322
Pt 0.361 0.181 0.678
Pt 0.500 0.000 0.000
Pt 0.500 0.500 0.000
Pt 0.639 0.819 0.322
Pt 0.819 0.181 0.678
Pt 0.819 0.639 0.678

Calculated density (g/cm3): 14.21
Formation energy (eV/atom): -0.758
SG: P-3m1, No. 164

Record 4
Density functional theory data (PBE) for a relaxed BaYAs3 crystal.

Lattice parameters (Å, degrees): 5.593 5.593 5.593 90.00 90.00 90.00
Positions (direct):
Ba 0.000 0.000 0.000
Y 0.500 0.500 0.500
As 0.000 0.000 0.500
As 0.000 0.500 0.000
As 0.500 0.000 0.000

Calculated density (g/cm3): 4.28
Formation energy (eV/atom): 0.628
Energy above the most stable polymorph in this dataset (eV/atom): 1.165
SG: Pm-3m, No. 221

Record 5
Density functional theory data (PBE) for a relaxed ZrNpCoOs crystal.

Lattice parameters (Å, degrees): 4.665 4.665 4.665 60.00 60.00 60.00
Positions (direct):
Zr 0.000 0.000 0.000
Np 0.500 0.500 0.500
Co 0.250 0.250 0.250
Os 0.750 0.750 0.750

Calculated density (g/cm3): 13.36
Formation energy (eV/atom): -0.047
SG: F-43m, No. 216

Record 6
Density functional theory data (PBE) for a relaxed K6CdSn2 crystal.

Lattice parameters (Å, degrees): 11.696 11.696 11.696 31.36 31.36 31.36
Positions (direct):
K 0.077 0.077 0.077
K 0.199 0.199 0.199
K 0.309 0.309 0.309
K 0.691 0.691 0.691
K 0.801 0.801 0.801
K 0.923 0.923 0.923
Cd 0.500 0.500 0.500
Sn 0.416 0.416 0.416
Sn 0.584 0.584 0.584

Calculated density (g/cm3): 2.52
Formation energy (eV/atom): -0.155
SG: R-3m, No. 166